This record from Alexandria via LeMat-Bulk describes HfCrCd2O6 after structural relaxation. The functional is GGA+U.

```
HfCrCd2O6
1.0
5.441 0.000 0.000
2.711 4.790 0.000
2.713 1.438 4.573
Hf Cr Cd O
1 1 2 6
Direct
0.000 0.000 0.000
0.500 0.500 0.500
0.224 0.253 0.254
0.776 0.747 0.746
0.197 0.319 0.802
0.200 0.805 0.315
0.378 0.738 0.739
0.622 0.262 0.261
0.800 0.195 0.685
0.803 0.681 0.198
```

- Volume: 11.92 Å³ per atom
- Total DFT energy (no corrections): -68.1 eV per cell